(1)
This record from the Alexandria database describes a relaxed structure of ZrTaVCo2. The functional is PBE.

Cell: 4.4020 5.0377 4.4020 Å, 90.00 90.00 90.00°
Atoms (fractional coordinates):
V: 0.5000 0.5000 0.5000
Ta: 0.0000 0.0000 0.0000
Zr: 0.0000 0.5000 0.0000
Co: 0.0000 0.0000 0.5000
Co: 0.5000 0.0000 0.0000

***

(2)
This record from the Alexandria database describes a relaxed structure of Ba2TlSn3Rh4. The functional is PBE.

Cell: 4.6893 4.6893 10.9677 Å, 90.00 90.00 90.00°
Atoms (fractional coordinates):
Sn: 0.0000 0.5000 0.1197
Sn: 0.5000 0.0000 0.8803
Sn: 0.0000 0.0000 0.5000
Rh: 0.0000 0.5000 0.3667
Rh: 0.0000 0.0000 0.0000
Rh: 0.5000 0.0000 0.6333
Rh: 0.5000 0.5000 0.0000
Ba: 0.0000 0.5000 0.7564
Ba: 0.5000 0.0000 0.2436
Tl: 0.5000 0.5000 0.5000

***

Here are the calculated size of the total moment numbers, same order: 0.5; 0.0 (μB/f.u.).
Here are the calculated ΔH_f (0 K) numbers, same order: 1471; -503 (meV/atom).